(1)
Below is a relaxed structure of CoCuNi, with properties calculated at the PBE-GGA level.

Calculated values
* space-group type: P4/nmm
* uncorrected energy: -5.649 eV per atom
* energy relative to the lowest polymorph listed for this composition: 0 meV per atom

a = 2.5080 Å, b = 2.5080 Å, c = 10.6819 Å
α = 90.00°, β = 90.00°, γ = 89.96°
Site moments in Bohr magnetons follow the coordinates.
Element x y z (fractional)
Co (0.8180, 0.8180, 0.6700)  1.65
Co (0.3180, 0.3180, 0.8327)  1.65
Cu (0.3177, 0.3177, 0.1643)  0.00
Cu (0.8178, 0.8178, 0.3386)  0.00
Ni (0.3180, 0.3180, 0.5092)  0.51
Ni (0.8179, 0.8179, 0.9935)  0.51

---

(2)
Below is a relaxed structure of Co2CuNi8, with properties calculated at the PBE-GGA level.

Calculated values
* space-group type: C2/m
* uncorrected energy: -5.621 eV per atom
* energy relative to the lowest polymorph listed for this composition: 97 meV per atom

a = 4.2154 Å, b = 6.2977 Å, c = 6.4262 Å
α = 60.66°, β = 75.52°, γ = 59.32°
Site moments in Bohr magnetons follow the coordinates.
Element x y z (fractional)
Co (0.0000, 0.3066, 0.3867)  1.78
Co (0.0000, 0.6934, 0.6133)  1.78
Cu (0.5000, 0.0000, 0.0000)  0.01
Ni (0.8476, 0.0997, 0.2306)  0.66
Ni (0.8476, 0.3303, 0.7694)  0.66
Ni (0.3037, 0.4196, 0.0000)  0.61
Ni (0.5000, 0.7869, 0.4261)  0.66
Ni (0.5000, 0.2131, 0.5739)  0.66
Ni (0.6963, 0.5804, 0.0000)  0.61
Ni (0.1524, 0.6697, 0.2306)  0.66
Ni (0.1524, 0.9003, 0.7694)  0.66

---

(3)
Below is a relaxed structure of Co5CuNi6, with properties calculated at the PBE-GGA level.

Calculated values
* space-group type: Cmmm
* uncorrected energy: -6.174 eV per atom

a = 3.4911 Å, b = 5.5566 Å, c = 7.1507 Å
α = 90.00°, β = 90.00°, γ = 71.69°
Site moments in Bohr magnetons follow the coordinates.
Element x y z (fractional)
Ni (0.8324, 0.3353, 0.2531)  0.69
Ni (0.8323, 0.3353, 0.7469)  0.69
Ni (0.5000, 0.0000, 0.7479)  0.65
Ni (0.5000, 0.0000, 0.2521)  0.65
Ni (0.1677, 0.6647, 0.2531)  0.69
Ni (0.1676, 0.6647, 0.7469)  0.69
Co (0.6669, 0.6661, 0.5000)  1.69
Co (0.3270, 0.3460, 0.0000)  1.70
Co (0.0000, 0.0000, 0.5000)  1.73
Co (0.6730, 0.6540, 0.0000)  1.70
Co (0.3331, 0.3339, 0.5000)  1.69
Cu (0.0000, 0.0000, 0.0000)  0.04

---

(4)
Below is a relaxed structure of Co3CuNi, with properties calculated at the PBE-GGA level.

Calculated values
* space-group type: Pm-3m
* uncorrected energy: -5.027 eV per atom
* energy relative to the lowest polymorph listed for this composition: 0 meV per atom

a = 4.2394 Å, b = 4.2394 Å, c = 4.2394 Å
α = 90.00°, β = 90.00°, γ = 90.00°
Site moments in Bohr magnetons follow the coordinates.
Element x y z (fractional)
Ni (0.0000, 0.0000, 0.0000)  0.94
Co (0.0000, 0.5000, 0.0000)  1.82
Co (0.0000, 0.0000, 0.5000)  2.45
Co (0.5000, 0.0000, 0.0000)  1.28
Cu (0.5000, 0.5000, 0.5000)  0.01

---

| no. | density of states at the Fermi level (states/eV/f.u.) | formation energy from the elements (kcal/mol of atoms) | total magnetization (μB per atom) |
| --- | --- | --- | --- |
| 1 | 2.973 | 0.29 | 0.70 |
| 2 | 13.512 | 5.72 | 0.76 |
| 3 | 12.653 | 0.42 | 1.01 |
| 4 | 7.875 | 27.95 | 1.26 |